# CrRe2NCl

CrRe2NCl after structural relaxation (PBE, the Alexandria database).

Summary:
Uncorrected energy (eV per cell): -35.91
Formation energy from raw total energies (eV per formula unit): 8.779
Volume (Å³/atom): 15.555

CIF file:
```
data_CrRe2NCl
_cell_length_a 4.682
_cell_length_b 4.682
_cell_length_c 3.548
_cell_angle_alpha 90.00
_cell_angle_beta 90.00
_cell_angle_gamma 90.00
_symmetry_space_group_name_H-M 'P 4/m m m'
_symmetry_Int_Tables_number 123
_symmetry_space_group_name_Hall '-P 4 2'
loop_
_atom_site_label
_atom_site_type_symbol
_atom_site_fract_x
_atom_site_fract_y
_atom_site_fract_z
Cr1 Cr 0.000 0.000 0.000
Re1 Re 0.000 0.500 0.000
N1 N 0.000 0.000 0.500
Cl1 Cl 0.500 0.500 0.500
```